Record 1
This record from the Alexandria database describes a relaxed Tb5PmPr2Nd crystal. The functional is GGA-PBE.

abc: 8.735 8.735 10.054
angles: 115.75 115.75 90.00
Element x y z (fractional)
1 Tb 0.930 0.430 0.278
2 Tb 0.652 0.152 0.722
3 Tb 0.070 0.570 0.722
4 Tb 0.152 0.070 0.722
5 Tb 0.570 0.652 0.722
6 Tb 0.848 0.930 0.278
7 Tb 0.430 0.348 0.278
8 Tb 0.348 0.848 0.278
9 Tb 0.500 0.500 0.000
10 Tb 0.000 0.000 0.000
11 Pm 0.250 0.250 0.500
12 Pm 0.750 0.750 0.500
13 Pr 0.119 0.381 0.000
14 Pr 0.619 0.119 0.000
15 Pr 0.381 0.881 0.000
16 Pr 0.881 0.619 0.000
17 Nd 0.250 0.750 0.500
18 Nd 0.750 0.250 0.500

**Electronic total energy**: -4.443 eV per atom
**Size of the total moment**: 0.00 μB/cell

Record 2
This record from the Alexandria database describes a relaxed BaAsSe2 crystal. The functional is GGA-PBE.

abc: 5.866 5.866 5.866
angles: 139.77 121.69 73.22
Element x y z (fractional)
1 As 0.555 0.555 0.000
2 Ba 0.253 0.753 0.500
3 Se 0.963 0.963 0.000
4 Se 0.730 0.230 0.500

**Formation energy (no corrections)**: -2.6 eV per formula unit
**Size of the total moment**: 0.00 μB/cell

Record 3
This record from the Alexandria database describes a relaxed CoPOs2 crystal. The functional is GGA-PBE.

abc: 5.241 5.241 6.391
angles: 65.79 65.79 90.00
Element x y z (fractional)
1 Co 0.000 0.000 0.000
2 Co 0.750 0.250 0.500
3 Os 0.624 0.125 0.250
4 Os 0.126 0.625 0.250
5 Os 0.375 0.376 0.750
6 Os 0.875 0.874 0.750
7 P 0.500 0.500 0.000
8 P 0.250 0.750 0.500

**Electronic total energy**: -7.970 eV per atom
**Size of the total moment**: 0.00 μB/cell

Record 4
This record from the Alexandria database describes a relaxed AcIn2Br8 crystal. The functional is GGA-PBE.

abc: 7.376 8.566 8.566
angles: 70.38 79.55 79.55
Element x y z (fractional)
1 Ac 0.000 0.000 0.000
2 In 0.679 0.789 0.789
3 In 0.321 0.211 0.211
4 Br 0.221 0.299 0.901
5 Br 0.779 0.099 0.701
6 Br 0.302 0.810 0.810
7 Br 0.698 0.190 0.190
8 Br 0.221 0.901 0.299
9 Br 0.779 0.701 0.099
10 Br 0.845 0.609 0.609
11 Br 0.155 0.391 0.391

**Formation energy (no corrections)**: -12.2 eV per formula unit
**Size of the total moment**: 0.00 μB/cell

Record 5
This record from the Alexandria database describes a relaxed CeSm2Co6 crystal. The functional is GGA-PBE.

abc: 4.049 6.753 6.753
angles: 120.00 90.00 90.00
Each line ends with the local moment (μB).
Element x y z (fractional)
1 Ce 0.000 0.000 0.000  -0.59
2 Sm 0.000 0.333 0.667  -0.11
3 Sm 0.000 0.667 0.333  -0.11
4 Co 0.500 0.332 0.332  0.73
5 Co 0.500 0.668 0.668  0.73
6 Co 0.500 0.000 0.668  0.73
7 Co 0.500 0.668 0.000  0.73
8 Co 0.500 0.332 0.000  0.73
9 Co 0.500 0.000 0.332  0.73

**Electronic total energy**: -6.557 eV per atom
**Size of the total moment**: 3.12 μB/cell

Record 6
This record from the Alexandria database describes a relaxed AcPm7Er2 crystal. The functional is GGA-PBE.

abc: 5.573 7.761 9.562
angles: 113.96 73.05 90.01
Element x y z (fractional)
1 Ac 0.000 0.000 0.000
2 Pm 0.841 0.659 0.318
3 Pm 0.159 0.341 0.682
4 Pm 0.632 0.667 0.736
5 Pm 0.368 0.333 0.264
6 Pm 0.368 0.931 0.264
7 Pm 0.632 0.069 0.736
8 Pm 0.500 0.500 0.000
9 Er 0.214 0.785 0.570
10 Er 0.786 0.215 0.430

**Polymorph energy (0 for the lowest one)**: 0.000 eV per atom
**Size of the total moment**: 0.00 μB/cell

- The highest size of the total moment belongs to which entry?
  CeSm2Co6

- What is the size of the total moment in the first record?
  0.00 μB/cell